First-principles (GGA+U) data for crystalline Li7Mn2Co3O12 at its relaxed geometry, as listed in the Alexandria database.

* V: 212.8 Å³/cell
* space group: No. 1
* total DFT energy (no corrections): -141.04 eV/f.u.
* ρ: 4.1 g/cm³

abc: 5.0892 5.8871 7.6490
angles: 101.42 108.16 90.59
Each line ends with the local moment (μB).
Fractional coordinates of all 24 atoms:
O1 0.7821 0.8836 0.5037  0.09
O2 0.2262 0.9676 0.8308  0.10
Mn1 0.0033 0.1664 0.6691  -3.13
O3 0.2162 0.8097 0.1645  -0.05
O4 0.2368 0.4385 0.8170  0.17
Li1 0.4976 0.2585 0.0001  0.01
O5 0.2383 0.6232 0.5046  0.33
Li2 0.5058 0.9107 0.6679  0.01
O6 0.7816 0.1911 0.8333  0.00
Co1 0.9963 0.8355 0.3334  1.95
Li3 0.0040 0.5020 0.0012  0.00
O7 0.2114 0.1182 0.4923  0.09
O8 0.7659 0.5533 0.1907  0.19
O9 0.7803 0.7232 0.8333  0.16
O10 0.7624 0.0481 0.1529  0.15
Li4 0.5068 0.4216 0.6709  0.00
O11 0.2307 0.2750 0.1646  0.14
Li5 0.5082 0.7401 0.0028  0.01
Co2 0.0067 0.6549 0.6711  3.06
O12 0.7743 0.3586 0.5164  0.22
Li6 0.4940 0.0855 0.3298  0.01
Co3 0.9918 0.3451 0.3217  3.05
Li7 0.4787 0.5874 0.3264  0.00
Mn2 0.0006 0.0023 0.0013  3.13